Record 1
Here is a geometry-optimized Y2Zn structure from the Alexandria database. Energies are from PBE.

Values from the calculation:
**V**: 164 Å³/cell
**Energy of formation from the pure elements**: -151 meV per atom
**Raw total energy**: -0.359 Ry per atom
**Total moment**: 0.27 μB/f.u.

Cell: 7.374 7.374 6.787 Å, 112.47 112.47 28.88°
Sites, in units of the cell vectors:
Y  0.016  0.016  0.274
Y  0.294  0.294  0.290
Y  0.706  0.706  0.710
Y  0.984  0.984  0.726
Zn  0.381  0.381  0.920
Zn  0.619  0.619  0.080

=====

Record 2
Here is a geometry-optimized Y4Zn structure from the Alexandria database. Energies are from PBE.

Values from the calculation:
**V**: 161 Å³/cell
**Energy of formation from the pure elements**: 348 meV per atom
**Raw total energy**: -0.373 Ry per atom
**Excess energy over the best structure of this formula in the dataset**: 0.4848 eV per atom
**Total moment**: 1.48 μB/f.u.

Cell: 5.931 5.931 5.931 Å, 109.47 109.47 109.47°
Sites, in units of the cell vectors:
Y  0.000  0.000  0.500
Y  0.000  0.500  0.000
Y  0.500  0.000  0.000
Y  0.500  0.500  0.500
Zn  0.000  0.000  0.000

=====

Record 3
Here is a geometry-optimized YZn7 structure from the Alexandria database. Energies are from PBE.

Values from the calculation:
**V**: 146 Å³/cell
**Energy of formation from the pure elements**: 22 meV per atom
**Raw total energy**: -0.140 Ry per atom
**Total moment**: 0.01 μB/f.u.

Cell: 5.908 5.908 5.908 Å, 60.00 60.00 60.00°
Sites, in units of the cell vectors:
Y  0.000  0.000  0.000
Zn  0.000  0.000  0.500
Zn  0.000  0.500  0.000
Zn  0.000  0.500  0.500
Zn  0.500  0.000  0.000
Zn  0.500  0.000  0.500
Zn  0.500  0.500  0.000
Zn  0.500  0.500  0.500

=====

Record 4
Here is a geometry-optimized YZn structure from the Alexandria database. Energies are from PBE.

Values from the calculation:
**V**: 98 Å³/cell
**Energy of formation from the pure elements**: -187 meV per atom
**Raw total energy**: -0.298 Ry per atom
**Total moment**: 0.00 μB/f.u.

Cell: 6.344 6.344 6.344 Å, 40.82 40.82 40.82°
Sites, in units of the cell vectors:
Y  0.096  0.096  0.096
Y  0.904  0.904  0.904
Zn  0.323  0.323  0.323
Zn  0.677  0.677  0.677

=====

Record 5
Here is a geometry-optimized YZn structure from the Alexandria database. Energies are from PBE.

Values from the calculation:
**V**: 98 Å³/cell
**Energy of formation from the pure elements**: -142 meV per atom
**Raw total energy**: -0.295 Ry per atom
**Total moment**: 0.19 μB/f.u.

Cell: 3.927 3.927 6.332 Å, 90.00 90.00 90.00°
Sites, in units of the cell vectors:
Y  0.250  0.250  0.171
Y  0.750  0.750  0.829
Zn  0.250  0.250  0.643
Zn  0.750  0.750  0.357

=====

Record 6
Here is a geometry-optimized YZn structure from the Alexandria database. Energies are from PBE.

Values from the calculation:
**V**: 127 Å³/cell
**Energy of formation from the pure elements**: 364 meV per atom
**Raw total energy**: -0.258 Ry per atom
**Total moment**: 0.00 μB/f.u.

Cell: 4.984 4.984 5.892 Å, 90.00 90.00 120.00°
Sites, in units of the cell vectors:
Y  0.333  0.667  0.250
Y  0.667  0.333  0.750
Zn  0.333  0.667  0.750
Zn  0.667  0.333  0.250

=====

Record 7
Here is a geometry-optimized Y3Zn5 structure from the Alexandria database. Energies are from PBE.

Values from the calculation:
**V**: 345 Å³/cell
**Energy of formation from the pure elements**: -273 meV per atom
**Raw total energy**: -0.257 Ry per atom
**Excess energy over the best structure of this formula in the dataset**: 0.0210 eV per atom
**Total moment**: 0.00 μB/f.u.

Cell: 5.809 7.989 8.104 Å, 84.46 71.27 75.67°
Sites, in units of the cell vectors:
Y  0.015  0.449  0.268
Y  0.199  0.085  0.599
Y  0.255  0.822  0.964
Y  0.745  0.178  0.036
Y  0.801  0.915  0.401
Y  0.985  0.551  0.732
Zn  0.273  0.192  0.918
Zn  0.288  0.052  0.224
Zn  0.321  0.734  0.369
Zn  0.418  0.463  0.884
Zn  0.464  0.360  0.401
Zn  0.536  0.640  0.599
Zn  0.582  0.537  0.116
Zn  0.679  0.266  0.631
Zn  0.712  0.948  0.776
Zn  0.727  0.808  0.082

=====

Record 8
Here is a geometry-optimized Y3Zn8 structure from the Alexandria database. Energies are from PBE.

Values from the calculation:
**V**: 214 Å³/cell
**Energy of formation from the pure elements**: -351 meV per atom
**Raw total energy**: -0.223 Ry per atom
**Total moment**: 0.00 μB/f.u.

Cell: 13.762 13.762 13.762 Å, 165.00 161.53 23.88°
Sites, in units of the cell vectors:
Y  0.000  0.000  0.000
Y  0.356  0.856  0.500
Y  0.644  0.144  0.500
Zn  0.094  0.594  0.500
Zn  0.188  0.688  0.500
Zn  0.258  0.258  0.000
Zn  0.452  0.452  0.000
Zn  0.548  0.548  0.000
Zn  0.742  0.742  0.000
Zn  0.812  0.312  0.500
Zn  0.906  0.406  0.500

=====

Record 9
Here is a geometry-optimized Y2Zn structure from the Alexandria database. Energies are from PBE.

Values from the calculation:
**V**: 164 Å³/cell
**Energy of formation from the pure elements**: -97 meV per atom
**Raw total energy**: -0.355 Ry per atom
**Total moment**: 0.00 μB/f.u.

Cell: 13.177 13.177 13.177 Å, 164.46 164.46 22.05°
Sites, in units of the cell vectors:
Y  0.309  0.559  0.750
Y  0.441  0.691  0.750
Y  0.559  0.309  0.250
Y  0.691  0.441  0.250
Zn  0.125  0.875  0.250
Zn  0.875  0.125  0.750

=====

Record 10
Here is a geometry-optimized YZn13 structure from the Alexandria database. Energies are from PBE.

Values from the calculation:
**V**: 447 Å³/cell
**Energy of formation from the pure elements**: -130 meV per atom
**Raw total energy**: -0.130 Ry per atom
**Total moment**: 0.00 μB/f.u.

Cell: 8.583 8.583 8.583 Å, 60.00 60.00 60.00°
Sites, in units of the cell vectors:
Y  0.250  0.250  0.250
Y  0.750  0.750  0.750
Zn  0.000  0.000  0.000
Zn  0.059  0.301  0.699
Zn  0.059  0.699  0.941
Zn  0.059  0.941  0.301
Zn  0.199  0.441  0.801
Zn  0.199  0.559  0.441
Zn  0.199  0.801  0.559
Zn  0.301  0.059  0.941
Zn  0.301  0.699  0.059
Zn  0.301  0.941  0.699
Zn  0.441  0.199  0.559
Zn  0.441  0.559  0.801
Zn  0.441  0.801  0.199
Zn  0.500  0.500  0.500
Zn  0.559  0.199  0.801
Zn  0.559  0.441  0.199
Zn  0.559  0.801  0.441
Zn  0.699  0.059  0.301
Zn  0.699  0.301  0.941
Zn  0.699  0.941  0.059
Zn  0.801  0.199  0.441
Zn  0.801  0.441  0.559
Zn  0.801  0.559  0.199
Zn  0.941  0.059  0.699
Zn  0.941  0.301  0.059
Zn  0.941  0.699  0.301

=====

Record 11
Here is a geometry-optimized Y4Zn structure from the Alexandria database. Energies are from PBE.

Values from the calculation:
**V**: 158 Å³/cell
**Energy of formation from the pure elements**: 416 meV per atom
**Raw total energy**: -0.368 Ry per atom
**Excess energy over the best structure of this formula in the dataset**: 0.5530 eV per atom
**Total moment**: 0.00 μB/f.u.

Cell: 9.475 9.475 9.475 Å, 154.45 154.45 36.45°
Sites, in units of the cell vectors:
Y  0.087  0.087  0.000
Y  0.250  0.750  0.500
Y  0.750  0.250  0.500
Y  0.913  0.913  0.000
Zn  0.500  0.500  0.000

=====

Record 12
Here is a geometry-optimized Y2Zn structure from the Alexandria database. Energies are from PBE.

Values from the calculation:
**V**: 240 Å³/cell
**Energy of formation from the pure elements**: -169 meV per atom
**Raw total energy**: -0.360 Ry per atom
**Total moment**: 0.00 μB/f.u.

Cell: 7.686 7.686 4.692 Å, 90.00 90.00 120.00°
Sites, in units of the cell vectors:
Y  0.000  0.264  0.000
Y  0.000  0.599  0.500
Y  0.264  0.000  0.000
Y  0.401  0.401  0.500
Y  0.599  0.000  0.500
Y  0.736  0.736  0.000
Zn  0.000  0.000  0.500
Zn  0.333  0.667  0.000
Zn  0.667  0.333  0.000